Crystalline HfNbAs2 at its relaxed geometry. Source: OQMD, functional GGA-PBE.

Computed properties:
electronic total energy	-116.5	eV for the cell shown

abc: 6.6357 6.6357 6.6357
angles: 90.00 90.00 90.00
Last column: nearest neighbours and their distance in Å.
Space group F-43m (No. 216)
Unique sites:
1 Hf 0.0000 0.0000 0.0000 [4 per cell]  4 As 2.87, 4 Nb 2.87
2 Nb 0.2500 0.2500 0.7500 [4 per cell]  4 Hf 2.87, 4 As 2.87
3 As 0.0000 0.0000 0.5000 [4 per cell]  4 Nb 2.87, 4 As 2.87
4 As 0.2500 0.2500 0.2500 [4 per cell]  4 As 2.87, 4 Hf 2.87

***

Crystalline LaNdGa2Au2 at its relaxed geometry. Source: OQMD, functional GGA-PBE.

Computed properties:
electronic total energy	-27.1	eV for the cell shown

abc: 4.6211 4.6211 7.5319
angles: 90.00 90.00 120.00
Last column: nearest neighbours and their distance in Å.
Space group P-6m2 (No. 187)
Unique sites:
1 La 0.0000 0.0000 0.0000 [1 per cell]  6 Au 3.24, 6 Ga 3.41
2 Nd 0.0000 0.0000 0.5000 [1 per cell]  6 Ga 3.14, 6 Au 3.29
3 Ga 0.3333 0.6667 0.2812 [2 per cell]  3 Au 2.68
4 Au 0.6667 0.3333 0.2433 [2 per cell]  3 Ga 2.68

***

Crystalline GdYFe2 at its relaxed geometry. Source: OQMD, functional GGA-PBE.

Computed properties:
formation energy	0.1	eV per formula unit
electronic total energy	-55.3	eV for the cell shown

abc: 3.7309 7.8168 5.7172
angles: 90.00 90.00 90.00
Last column: nearest neighbours and their distance in Å.
Space group Pmn2_1 (No. 31)
Unique sites:
1 Gd 0.0000 0.0736 0.0000 [2 per cell]  7 Fe 2.96-3.18
2 Y 0.0000 0.5703 0.2655 [2 per cell]  7 Fe 2.94-3.20
3 Fe 0.0000 0.2197 0.4817 [2 per cell]  2 Fe 2.23
4 Fe 0.0000 0.7204 0.7857 [2 per cell]  2 Fe 2.23

***

Crystalline Nb4SbAuC2 at its relaxed geometry. Source: OQMD, functional GGA-PBE.

Computed properties:
electronic total energy	-69.2	eV for the cell shown

abc: 3.2824 3.2824 13.4667
angles: 90.00 90.00 120.00
Last column: nearest neighbours and their distance in Å.
Space group P-6m2 (No. 187)
Unique sites:
1 Nb 0.0000 0.0000 0.1643 [2 per cell]  3 C 2.23
2 Nb 0.3333 0.6667 0.3344 [2 per cell]  3 C 2.20
3 Sb 0.3333 0.6667 0.0000 [1 per cell]  6 Nb 2.91
4 Au 0.0000 0.0000 0.5000 [1 per cell]  6 Nb 2.93
5 C 0.6667 0.3333 0.2513 [2 per cell]  6 Nb 2.20-2.23

***

Crystalline GaOsNO at its relaxed geometry. Source: OQMD, functional GGA-PBE.

Computed properties:
electronic total energy	-55.8	eV for the cell shown

abc: 3.7359 3.7359 6.4921
angles: 90.00 90.00 90.00
Last column: nearest neighbours and their distance in Å.
Space group P4/nmm (No. 129, origin choice 2)
Unique sites:
1 Ga 0.2500 0.2500 0.1285 [2 per cell]  4 O 2.05
2 Os 0.2500 0.7500 0.5000 [2 per cell]  4 N 2.09
3 N 0.2500 0.2500 0.6430 [2 per cell]  4 Os 2.09
4 O 0.2500 0.7500 0.0000 [2 per cell]  4 Ga 2.05

***

Crystalline CsKPaSe3 at its relaxed geometry. Source: OQMD, functional GGA-PBE.

Computed properties:
electronic total energy	-116.4	eV for the cell shown

abc: 4.3633 19.8613 12.2173
angles: 90.00 90.00 90.00
Last column: nearest neighbours and their distance in Å.
Space group Cmcm (No. 63)
Unique sites:
1 Cs 0.0000 0.1545 0.2500 [4 per cell]  4 Se 3.32-3.59
2 K 0.0000 0.1079 0.7500 [4 per cell]  4 Se 3.03-3.21
3 Pa 0.0000 0.5000 0.0000 [4 per cell]  6 Se 2.87-3.06
4 Se 0.0000 0.0941 0.5032 [8 per cell]  2 Pa 2.87, 1 K 3.03
5 Se 0.0000 0.4893 0.7500 [4 per cell]  2 Pa 3.06, 2 K 3.21

***

Crystalline Re3Bi4 at its relaxed geometry. Source: OQMD, functional GGA-PBE.

Computed properties:
electronic total energy	-96.3	eV for the cell shown

abc: 14.9975 3.3499 6.8487
angles: 90.00 113.21 90.00
Last column: nearest neighbours and their distance in Å.
Space group C2/m (No. 12)
Unique sites:
1 Re 0.0000 0.0000 0.0000 [2 per cell]  6 Bi 2.71-2.82
2 Re 0.2411 0.5000 0.6599 [4 per cell]  6 Bi 2.75-3.00, 2 Re 2.85
3 Bi 0.0908 0.0000 0.4297 [4 per cell]  4 Re 2.71-2.82
4 Bi 0.1456 0.5000 0.9719 [4 per cell]  5 Re 2.82-3.00

***

Crystalline HfBeFe at its relaxed geometry. Source: OQMD, functional GGA-PBE.

Computed properties:
electronic total energy	-77.2	eV for the cell shown

abc: 5.8212 5.8212 5.8212
angles: 90.00 90.00 90.00
Last column: nearest neighbours and their distance in Å.
Space group F-43m (No. 216)
Unique sites:
1 Hf 0.0000 0.0000 0.0000 [4 per cell]  4 Fe 2.52, 4 Be 2.52
2 Be 0.2500 0.2500 0.7500 [4 per cell]  4 Hf 2.52
3 Fe 0.2500 0.2500 0.2500 [4 per cell]  4 Hf 2.52